#1
Density functional theory data (SCAN) for IrRuPt2 at its PBEsol-relaxed geometry.

Cell: 2.721 4.721 4.719 Å, 99.42 90.00 106.75°
Atoms (fractional coordinates):
Pt 0.002 0.004 0.001
Ru 0.496 0.993 0.490
Pt 0.247 0.495 0.748
Ir 0.754 0.508 0.261

Calculated values
DOS(E_F) = 3.56 states/eV/f.u.
Total moment = 0.00 Bohr magnetons per cell
Calculated volume = 57.20 Å³/f.u.
Calculated density = 19843 kg/m3


#2
Density functional theory data (SCAN) for IrRuPt2 at its PBEsol-relaxed geometry.

Cell: 4.374 4.374 4.374 Å, 60.00 60.00 60.00°
Atoms (fractional coordinates):
Ir 0.500 0.500 0.500
Ru 0.250 0.250 0.250
Pt 0.750 0.750 0.750
Pt 0.000 0.000 0.000

Calculated values
DOS(E_F) = 3.28 states/eV/f.u.
Total moment = 3.05 Bohr magnetons per cell
Calculated volume = 59.19 Å³/f.u.
Calculated density = 19175 kg/m3


Tell me which of them is the most stable. Sure, it is #1.


#1
Density functional theory data (SCAN) for Y5Mg at its PBEsol-relaxed geometry.

Cell: 3.550 5.554 9.219 Å, 90.00 101.10 90.00°
Atoms (fractional coordinates):
Y 0.332 0.000 0.664
Mg 0.000 0.000 0.999
Y 0.111 0.500 0.221
Y 0.779 0.500 0.559
Y 0.449 0.500 0.898
Y 0.663 0.000 0.325

Calculated values
DOS(E_F) = 7.43 states/eV/f.u.
Total moment = 1.78 Bohr magnetons per cell
Calculated volume = 178.38 Å³/f.u.
Calculated density = 4364 kg/m3


#2
Density functional theory data (SCAN) for Y5Mg at its PBEsol-relaxed geometry.

Cell: 5.524 6.083 6.083 Å, 120.00 90.00 90.00°
Atoms (fractional coordinates):
Y 0.000 0.678 0.000
Mg 0.500 0.000 0.000
Y 0.000 0.000 0.678
Y 0.500 0.667 0.333
Y 0.500 0.333 0.667
Y 0.000 0.322 0.322

Calculated values
DOS(E_F) = 6.55 states/eV/f.u.
Total moment = 3.87 Bohr magnetons per cell
Calculated volume = 177.00 Å³/f.u.
Calculated density = 4398 kg/m3


Tell me which of them is the most stable. Sure, it is #1.


#1
Density functional theory data (SCAN) for Sc3Ag at its PBEsol-relaxed geometry.

Cell: 3.068 5.718 5.718 Å, 116.87 100.30 100.30°
Atoms (fractional coordinates):
Sc 0.000 0.500 0.500
Sc 0.500 0.500 0.000
Ag 0.000 0.000 0.000
Sc 0.500 0.000 0.500

Calculated values
DOS(E_F) = 6.13 states/eV/f.u.
Total moment = 0.01 Bohr magnetons per cell
Calculated volume = 84.10 Å³/f.u.
Calculated density = 4793 kg/m3


#2
Density functional theory data (SCAN) for Sc3Ag at its PBEsol-relaxed geometry.

Cell: 6.218 6.309 8.677 Å, 90.00 90.00 90.00°
Atoms (fractional coordinates):
Sc 0.500 0.416 0.750
Sc 0.751 0.749 0.545
Ag 0.002 0.502 0.750
Ag 0.502 0.998 0.750
Sc 0.249 0.251 0.455
Sc 0.500 0.584 0.250
Ag 0.998 0.498 0.250
Sc 0.749 0.249 0.045
Ag 0.498 0.002 0.250
Sc 0.251 0.751 0.955
Sc 0.000 0.084 0.750
Sc 0.000 0.916 0.250
Sc 0.251 0.751 0.545
Sc 0.749 0.249 0.455
Sc 0.249 0.251 0.045
Sc 0.751 0.749 0.955

Calculated values
DOS(E_F) = 1.92 states/eV/f.u.
Total moment = 0.00 Bohr magnetons per cell
Calculated volume = 85.11 Å³/f.u.
Calculated density = 4736 kg/m3


Tell me which of them is the most stable. Sure, it is #2.